This record from Alexandria describes crystalline Mn2AlNi5Ge2 at its relaxed geometry. The functional is PBE-GGA.

Unit cell a=8.4502 b=8.4502 c=3.6117 alpha=90.00 beta=90.00 gamma=90.00
Space group P4/mbm (No. 127)
Symmetry-distinct sites (fractional):
Mn: 0.1696 0.3304 0.0000 x4
Al: 0.0000 0.0000 0.0000 x2
Ni: 0.0000 0.5000 0.5000 x2
Ni: 0.0696 0.8014 0.5000 x8
Ge: 0.1292 0.6292 0.0000 x4

Calculated values
Calculated formation energy (meV/atom): -176
Size of the total moment (μB per formula unit): 7.57
Uncorrected energy (eV per atom): -6.198